Record 1
# CePmDy5Tm2

A relaxed structure of CePmDy5Tm2 (PBE, Alexandria via LeMat-Bulk).

Output
The calculation puts the calculated total energy at -4.562 eV per atom. The density of states at the Fermi level comes out at 1.728 states/eV/atom. The value obtained for the energy of formation from the pure elements is 0.176 eV per atom.

a = 5.678 Å, b = 11.061 Å, c = 9.567 Å
α = 90.00°, β = 90.00°, γ = 104.87°
Fractional coordinates of all 18 atoms:
Dy: 0.306 0.611 0.714
Dy: 0.013 0.026 0.015
Dy: 0.607 0.213 0.541
Dy: 0.471 0.942 0.746
Dy: 0.529 0.058 0.246
Dy: 0.694 0.389 0.214
Dy: 0.267 0.534 0.332
Dy: 0.733 0.466 0.832
Dy: 0.987 0.974 0.515
Dy: 0.393 0.787 0.041
Ce: 0.194 0.387 0.023
Ce: 0.806 0.613 0.523
Tm: 0.135 0.271 0.706
Tm: 0.887 0.773 0.823
Tm: 0.113 0.227 0.323
Tm: 0.865 0.729 0.206
Pm: 0.597 0.193 0.923
Pm: 0.403 0.807 0.423

Record 2
# SrSm2

A relaxed structure of SrSm2 (PBE, Alexandria via LeMat-Bulk).

Output
As for the energy above the most stable polymorph in this dataset: 9.6 kJ per mole of atoms. The calculation puts the calculated total energy at -3.508 eV per atom. The density of states at the Fermi level comes out at 1.669 states/eV/atom. The value obtained for the energy of formation from the pure elements is 0.198 eV per atom.

a = 7.025 Å, b = 7.025 Å, c = 7.025 Å
α = 60.00°, β = 60.00°, γ = 60.00°
Fractional coordinates of all 6 atoms:
Sm: 0.125 0.625 0.625
Sm: 0.625 0.125 0.625
Sm: 0.625 0.625 0.625
Sm: 0.625 0.625 0.125
Sr: 0.250 0.250 0.250
Sr: 0.000 0.000 0.000

Record 3
# LaNb3Pd

A relaxed structure of LaNb3Pd (PBE, Alexandria via LeMat-Bulk).

Output
As for the energy above the most stable polymorph in this dataset: 79.6 kJ per mole of atoms. The calculation puts the calculated total energy at -6.320 eV per atom. The density of states at the Fermi level comes out at 1.125 states/eV/atom. The value obtained for the energy of formation from the pure elements is 1.746 eV per atom.

a = 4.839 Å, b = 4.839 Å, c = 4.839 Å
α = 90.00°, β = 90.00°, γ = 90.00°
Fractional coordinates of all 5 atoms:
Pd: 0.500 0.500 0.500
Nb: 0.000 0.500 0.000
Nb: 0.500 0.000 0.000
Nb: 0.000 0.000 0.500
La: 0.000 0.000 0.000

Record 4
# TbPr3Sm7

A relaxed structure of TbPr3Sm7 (PBE, Alexandria via LeMat-Bulk).

Output
As for the energy above the most stable polymorph in this dataset: 5.6 kJ per mole of atoms. The calculation puts the calculated total energy at -4.503 eV per atom. The density of states at the Fermi level comes out at 1.418 states/eV/atom. The value obtained for the energy of formation from the pure elements is 0.225 eV per atom.

a = 6.498 Å, b = 7.820 Å, c = 7.819 Å
α = 81.82°, β = 86.42°, γ = 86.41°
Fractional coordinates of all 11 atoms:
Sm: 0.213 0.760 0.760
Sm: 0.262 0.429 0.086
Sm: 0.738 0.914 0.571
Sm: 0.000 0.500 0.500
Sm: 0.262 0.086 0.429
Sm: 0.738 0.571 0.914
Sm: 0.787 0.240 0.240
Pr: 0.000 0.826 0.174
Pr: 0.500 0.000 0.000
Pr: 0.000 0.174 0.826
Tb: 0.500 0.500 0.500

Record 5
# LaSc2Bi2

A relaxed structure of LaSc2Bi2 (PBE, Alexandria via LeMat-Bulk).

Output
As for the energy above the most stable polymorph in this dataset: 3.2 kJ per mole of atoms. The calculation puts the calculated total energy at -5.640 eV per atom. The density of states at the Fermi level comes out at 1.202 states/eV/atom. The value obtained for the energy of formation from the pure elements is -0.570 eV per atom.

a = 8.509 Å, b = 8.509 Å, c = 3.898 Å
α = 90.00°, β = 90.00°, γ = 90.00°
Fractional coordinates of all 10 atoms:
Bi: 0.645 0.145 0.000
Bi: 0.145 0.355 0.000
Bi: 0.855 0.645 0.000
Bi: 0.355 0.855 0.000
La: 0.500 0.500 0.000
La: 0.000 0.000 0.000
Sc: 0.352 0.148 0.500
Sc: 0.148 0.648 0.500
Sc: 0.852 0.352 0.500
Sc: 0.648 0.852 0.500

Record 6
# TlCl4F

A relaxed structure of TlCl4F (PBE, Alexandria via LeMat-Bulk).

Output
The calculation puts the calculated total energy at -2.395 eV per atom.

a = 7.075 Å, b = 8.437 Å, c = 8.766 Å
α = 102.68°, β = 95.24°, γ = 130.44°
Fractional coordinates of all 12 atoms:
F: 0.563 0.313 0.626
F: 0.437 0.687 0.374
Tl: 0.802 0.052 0.104
Tl: 0.198 0.948 0.896
Cl: 0.868 0.624 0.604
Cl: 0.335 0.717 0.909
Cl: 0.926 0.808 0.091
Cl: 0.132 0.376 0.396
Cl: 0.763 0.020 0.396
Cl: 0.237 0.980 0.604
Cl: 0.074 0.192 0.909
Cl: 0.665 0.283 0.091